No. 1
Entry from the Alexandria database: an optimized crystal structure of Rb2DyInO4 (PBE).

Values from the calculation:
E_form (uncorrected): -2067 meV per atom
Crystal system: monoclinic
DOS at the Fermi energy: 0.0000 states/eV per atom

Geometry as CIF:
```
data_Rb2DyInO4
_symmetry_space_group_name_H-M 'P 1 2/m 1'
_symmetry_Int_Tables_number 10
_symmetry_space_group_name_Hall '-P 2y'
_cell_length_a 5.972
_cell_length_b 3.459
_cell_length_c 6.851
_cell_angle_alpha 90.00
_cell_angle_beta 107.37
_cell_angle_gamma 90.00
loop_
_atom_site_label
_atom_site_fract_x
_atom_site_fract_y
_atom_site_fract_z
_atom_site_occupancy
Rb1 0.000 0.000 0.000 1
Rb2 0.500 0.500 0.000 1
Dy1 0.000 0.500 0.500 1
In1 0.500 0.000 0.500 1
O1 0.226 0.000 0.679 1
O2 0.280 0.500 0.323 1
```

No. 2
Entry from the Alexandria database: an optimized crystal structure of ThMnNbOs2 (PBE).

Values from the calculation:
Crystal system: tetragonal
DOS at the Fermi energy: 1.0919 states/eV per atom
Uncorrected energy: -9.902 eV/atom

Geometry as CIF:
```
data_ThMnNbOs2
_symmetry_space_group_name_H-M 'I -4 m 2'
_symmetry_Int_Tables_number 119
_symmetry_space_group_name_Hall 'I -4 -2'
_cell_length_a 4.223
_cell_length_b 4.223
_cell_length_c 11.015
_cell_angle_alpha 90.00
_cell_angle_beta 90.00
_cell_angle_gamma 90.00
loop_
_atom_site_label
_atom_site_fract_x
_atom_site_fract_y
_atom_site_fract_z
_atom_site_occupancy
Th1 0.000 0.000 0.000 1
Mn1 0.000 0.500 0.250 1
Nb1 0.000 0.500 0.750 1
Os1 0.000 0.000 0.385 1
```

No. 3
Entry from the Alexandria database: an optimized crystal structure of ZnPb3S (PBE).

Values from the calculation:
E_form (uncorrected): 310 meV per atom
Crystal system: cubic
DOS at the Fermi energy: 0.8186 states/eV per atom

Geometry as CIF:
```
data_ZnPb3S
_symmetry_space_group_name_H-M 'P m -3 m'
_symmetry_Int_Tables_number 221
_symmetry_space_group_name_Hall '-P 4 2 3'
_cell_length_a 5.540
_cell_length_b 5.540
_cell_length_c 5.540
_cell_angle_alpha 90.00
_cell_angle_beta 90.00
_cell_angle_gamma 90.00
loop_
_atom_site_label
_atom_site_fract_x
_atom_site_fract_y
_atom_site_fract_z
_atom_site_occupancy
Zn1 0.000 0.000 0.000 1
Pb1 0.000 0.500 0.500 1
S1 0.500 0.500 0.500 1
```

No. 4
Entry from the Alexandria database: an optimized crystal structure of Li2CdSi (PBE).

Values from the calculation:
E_form (uncorrected): 125 meV per atom
Crystal system: tetragonal
DOS at the Fermi energy: 0.3064 states/eV per atom

Geometry as CIF:
```
data_Li2CdSi
_symmetry_space_group_name_H-M 'I -4 2 d'
_symmetry_Int_Tables_number 122
_symmetry_space_group_name_Hall 'I -4 2bw'
_cell_length_a 7.412
_cell_length_b 7.412
_cell_length_c 5.472
_cell_angle_alpha 90.00
_cell_angle_beta 90.00
_cell_angle_gamma 90.00
loop_
_atom_site_label
_atom_site_fract_x
_atom_site_fract_y
_atom_site_fract_z
_atom_site_occupancy
Li1 0.230 0.250 0.125 1
Cd1 0.000 0.000 0.500 1
Si1 0.000 0.000 0.000 1
```

No. 5
Entry from the Alexandria database: an optimized crystal structure of Zr3VPd (PBE).

Values from the calculation:
Crystal system: cubic
DOS at the Fermi energy: 1.6299 states/eV per atom
Uncorrected energy: -7.232 eV/atom

Geometry as CIF:
```
data_Zr3VPd
_symmetry_space_group_name_H-M 'P m -3 m'
_symmetry_Int_Tables_number 221
_symmetry_space_group_name_Hall '-P 4 2 3'
_cell_length_a 5.053
_cell_length_b 5.053
_cell_length_c 5.053
_cell_angle_alpha 90.00
_cell_angle_beta 90.00
_cell_angle_gamma 90.00
loop_
_atom_site_label
_atom_site_fract_x
_atom_site_fract_y
_atom_site_fract_z
_atom_site_occupancy
Zr1 0.000 0.000 0.500 1
V1 0.500 0.500 0.500 1
Pd1 0.000 0.000 0.000 1
```

No. 6
Entry from the Alexandria database: an optimized crystal structure of KMnRh2 (PBE).

Values from the calculation:
Crystal system: orthorhombic
DOS at the Fermi energy: 1.1145 states/eV per atom
Uncorrected energy: -5.615 eV/atom

Geometry as CIF:
```
data_KMnRh2
_symmetry_space_group_name_H-M 'I m m 2'
_symmetry_Int_Tables_number 44
_symmetry_space_group_name_Hall 'I 2 -2'
_cell_length_a 2.811
_cell_length_b 5.144
_cell_length_c 10.420
_cell_angle_alpha 90.00
_cell_angle_beta 90.00
_cell_angle_gamma 90.00
loop_
_atom_site_label
_atom_site_fract_x
_atom_site_fract_y
_atom_site_fract_z
_atom_site_occupancy
K1 0.000 0.000 0.000 1
Mn1 0.000 0.500 0.791 1
Rh1 0.000 0.000 0.503 1
Rh2 0.000 0.500 0.216 1
```

No. 7
Entry from the Alexandria database: an optimized crystal structure of Zn2Ni2Au (PBE).

Values from the calculation:
Crystal system: tetragonal
DOS at the Fermi energy: 0.6505 states/eV per atom
Uncorrected energy: -3.427 eV/atom

Geometry as CIF:
```
data_Zn2Ni2Au
_symmetry_space_group_name_H-M 'I 4/m m m'
_symmetry_Int_Tables_number 139
_symmetry_space_group_name_Hall '-I 4 2'
_cell_length_a 3.420
_cell_length_b 3.420
_cell_length_c 12.453
_cell_angle_alpha 90.00
_cell_angle_beta 90.00
_cell_angle_gamma 90.00
loop_
_atom_site_label
_atom_site_fract_x
_atom_site_fract_y
_atom_site_fract_z
_atom_site_occupancy
Zn1 0.000 0.000 0.107 1
Ni1 0.000 0.500 0.250 1
Au1 0.000 0.000 0.500 1
```

No. 8
Entry from the Alexandria database: an optimized crystal structure of Dy6GaAs2Se3 (PBE).

Values from the calculation:
E_form (uncorrected): -1530 meV per atom
Crystal system: monoclinic
DOS at the Fermi energy: 0.2401 states/eV per atom

Geometry as CIF:
```
data_Dy6GaAs2Se3
_symmetry_space_group_name_H-M 'C 1 2/m 1'
_symmetry_Int_Tables_number 12
_symmetry_space_group_name_Hall '-C 2y'
_cell_length_a 17.994
_cell_length_b 4.067
_cell_length_c 8.317
_cell_angle_alpha 90.00
_cell_angle_beta 103.41
_cell_angle_gamma 90.00
loop_
_atom_site_label
_atom_site_fract_x
_atom_site_fract_y
_atom_site_fract_z
_atom_site_occupancy
Dy1 0.001 0.000 0.246 1
Dy2 0.163 0.500 0.088 1
Dy3 0.170 0.500 0.577 1
Ga1 0.000 0.500 0.000 1
As1 0.167 0.000 0.335 1
Se1 0.000 0.500 0.500 1
Se2 0.169 0.000 0.832 1
```